Ba2LiRu: relaxed, PBE-GGA.

Summary:
DOS at the Fermi energy: 4.5 states/eV/f.u.
calculated density: 4.304 g cm⁻³
energy above the lowest structure with this stoichiometry: 0.215 eV/atom
space group: C2/m, No. 12
calculated formation energy: 0.4919 eV per atom

Geometry as POSCAR:
```
Ba2LiRu
1.0
4.526 0.003 0.008
3.002 3.388 0.008
1.021 0.460 9.637
Ba Li Ru
2 1 1
Cartesian
7.436 3.349 0.601
4.366 1.966 4.242
6.412 2.887 7.240
2.137 0.962 2.413
```

---

BaLiRu2: relaxed, PBE-GGA.

Summary:
DOS at the Fermi energy: 5.4 states/eV/f.u.
calculated density: 7.891 g cm⁻³
energy above the lowest structure with this stoichiometry: 0.535 eV/atom
space group: Immm, No. 71
calculated formation energy: 0.7836 eV per atom

Geometry as POSCAR:
```
BaLiRu2
1.0
5.882 0.017 -0.002
3.248 4.904 0.002
-4.024 -3.465 2.531
Ba Li Ru
1 1 2
Cartesian
3.212 -0.494 1.264
1.895 1.950 1.266
0.265 0.143 0.000
4.300 2.318 0.000
```

---

BaLiRu2: relaxed, PBE-GGA.

Summary:
DOS at the Fermi energy: 4.2 states/eV/f.u.
calculated density: 7.364 g cm⁻³
energy above the lowest structure with this stoichiometry: 0.591 eV/atom
space group: I4/mmm, No. 139
calculated formation energy: 0.8404 eV per atom

Geometry as POSCAR:
```
BaLiRu2
1.0
-2.968 0.341 4.717
1.945 -2.555 4.568
1.929 3.475 -3.921
Ba Li Ru
1 1 2
Cartesian
1.681 -0.093 2.644
-0.775 1.355 2.719
0.000 0.000 0.000
-0.511 -1.107 4.642
```

---

BaLi2SbRu: relaxed, PBE-GGA.

Summary:
E_form (uncorrected): -0.9 eV per formula unit
DOS at the Fermi energy: 2.0 states/eV/f.u.
calculated density: 4.820 g cm⁻³
space group: P4/mmm, No. 123

Geometry as POSCAR:
```
BaLi2SbRu
1.0
-1.779 -3.739 2.918
3.704 0.809 3.295
-2.923 3.318 2.470
Sb Li Ba Ru
1 2 1 1
Cartesian
1.852 0.405 1.648
-1.461 1.659 1.235
-0.889 -1.869 1.459
-0.499 0.194 4.341
0.000 0.000 0.000
```

---

BaLi2SiRu: relaxed, PBE-GGA.

Summary:
E_form (uncorrected): -0.4 eV per formula unit
DOS at the Fermi energy: 4.3 states/eV/f.u.
calculated density: 4.100 g cm⁻³
space group: P4/mmm, No. 123

Geometry as POSCAR:
```
BaLi2SiRu
1.0
-3.210 -2.871 -2.456
3.757 -2.771 -1.670
-0.378 -2.741 3.699
Ru Si Ba Li
1 1 1 2
Cartesian
0.000 0.000 0.000
-0.189 -1.371 1.849
0.085 -4.192 -0.214
1.878 -1.385 -0.835
-1.605 -1.436 -1.228
```

---

Ba2LiTaRu: relaxed, PBE-GGA.

Summary:
DOS at the Fermi energy: 9.5 states/eV/f.u.
calculated density: 6.053 g cm⁻³
space group: P4/mmm, No. 123
calculated formation energy: 1.4034 eV per atom

Geometry as POSCAR:
```
Ba2LiTaRu
1.0
-1.802 5.142 1.686
-1.970 0.709 -4.267
-4.868 -2.317 1.862
Ru Li Ba Ta
1 1 2 1
Cartesian
0.000 0.000 0.000
-0.985 0.354 -2.134
-2.434 -1.158 0.931
-0.901 2.571 0.843
-4.320 1.767 -0.359
```